DFT (meta-GGA SCAN) results for CuHS2N at its PBEsol-relaxed geometry.

a b c (Å): 2.630 4.402 4.402
angles (deg): 90.00 90.00 90.00
Positions (direct):
H 0.500 0.000 0.000
S 0.000 0.000 0.500
S 0.000 0.500 0.000
Cu 0.500 0.500 0.500
N 0.000 0.000 0.000

DFT total energy, eV per atom: -8.70
Fermi-level density of states, states/eV/atom: 0.4392
Spin magnetization, μB/f.u.: 0.0
Space group: P4/mmm, No. 123

DFT (meta-GGA SCAN) results for K3TiMn at its PBEsol-relaxed geometry.

a b c (Å): 6.334 6.334 6.334
angles (deg): 90.00 90.00 90.00
Positions (direct):
K 0.000 0.500 0.000
K 0.000 0.000 0.500
K 0.500 0.000 0.000
Mn 0.000 0.000 0.000
Ti 0.500 0.500 0.500

DFT total energy, eV per atom: -10.68
Fermi-level density of states, states/eV/atom: 1.4870
Spin magnetization, μB/f.u.: 8.7
Space group: Pm-3m, No. 221

DFT (meta-GGA SCAN) results for TcSnSe2Br at its PBEsol-relaxed geometry.

a b c (Å): 4.796 4.796 5.138
angles (deg): 90.00 90.00 90.00
Positions (direct):
Se 0.000 0.500 0.000
Se 0.500 0.000 0.000
Sn 0.500 0.500 0.500
Br 0.000 0.000 0.500
Tc 0.000 0.000 0.000

DFT total energy, eV per atom: -25.94
Fermi-level density of states, states/eV/atom: 0.6689
Spin magnetization, μB/f.u.: 2.0
Formation energy from raw total energies, meV per atom: 179
Space group: P4/mmm, No. 123